Computed, not measured: a geometry-optimized PmB2O4 structure at the PBE level of DFT.

Properties
For the final energy, the calculation gives -7.870 eV/atom. As for the formation energy (no corrections): -2.45 eV/atom. The calculation puts the offset from the most stable computed form at 0.0 meV/atom.

Cell: 5.283 5.283 5.283 Å, 98.50 98.50 134.79°
Positions (direct):
Pm (0.500, 0.500, 0.000)
B (0.250, 0.750, 0.500)
B (0.750, 0.250, 0.500)
O (0.500, 0.158, 0.658)
O (0.842, 0.500, 0.342)
O (0.158, 0.500, 0.658)
O (0.500, 0.842, 0.342)